No. 1
# Ba2SiGe2

A relaxed structure of Ba2SiGe2 (PBE-GGA, Alexandria).

space-group type = P4/mbm (127)
total energy = -3.965 eV/atom
uncorrected formation energy = -264.4 meV per atom

a = 7.443 Å, b = 7.443 Å, c = 5.197 Å
α = 90.00°, β = 90.00°, γ = 90.00°
Sites, in units of the cell vectors:
Ge1 0.625 0.125 0.000
Ge2 0.875 0.625 0.000
Ge3 0.375 0.875 0.000
Ge4 0.125 0.375 0.000
Ba1 0.678 0.822 0.500
Ba2 0.178 0.678 0.500
Ba3 0.822 0.322 0.500
Ba4 0.322 0.178 0.500
Si1 0.000 0.000 0.000
Si2 0.500 0.500 0.000



No. 2
# Ba3Si2Ge3

A relaxed structure of Ba3Si2Ge3 (PBE-GGA, Alexandria).

space-group type = Cmcm (63)
total energy = -4.195 eV/atom
uncorrected formation energy = -386.7 meV per atom

a = 4.863 Å, b = 6.837 Å, c = 14.761 Å
α = 90.00°, β = 90.00°, γ = 110.83°
Sites, in units of the cell vectors:
Ge1 0.341 0.682 0.250
Ge2 0.677 0.353 0.036
Ge3 0.323 0.647 0.536
Ge4 0.323 0.647 0.964
Ge5 0.659 0.318 0.750
Ge6 0.677 0.353 0.464
Ba1 0.927 0.853 0.107
Ba2 0.359 0.719 0.750
Ba3 0.073 0.147 0.607
Ba4 0.641 0.281 0.250
Ba5 0.073 0.147 0.893
Ba6 0.927 0.853 0.393
Si1 0.783 0.567 0.894
Si2 0.217 0.433 0.106
Si3 0.783 0.567 0.606
Si4 0.217 0.433 0.394



No. 3
# Ba5Si2Ge

A relaxed structure of Ba5Si2Ge (PBE-GGA, Alexandria).

space-group type = I4/mcm (140)
total energy = -3.534 eV/atom
uncorrected formation energy = -399.1 meV per atom

a = 8.521 Å, b = 8.521 Å, c = 10.343 Å
α = 114.32°, β = 114.32°, γ = 90.00°
Sites, in units of the cell vectors:
Ba1 0.324 0.824 0.284
Ba2 0.824 0.960 0.284
Ba3 0.540 0.676 0.716
Ba4 0.176 0.040 0.716
Ba5 0.960 0.460 0.284
Ba6 0.000 0.000 0.000
Ba7 0.040 0.540 0.716
Ba8 0.676 0.176 0.716
Ba9 0.500 0.500 0.000
Ba10 0.460 0.324 0.284
Si1 0.399 0.899 0.000
Si2 0.899 0.601 0.000
Si3 0.101 0.399 0.000
Si4 0.601 0.101 0.000
Ge1 0.750 0.750 0.500
Ge2 0.250 0.250 0.500



No. 4
# Ba4Si3Ge

A relaxed structure of Ba4Si3Ge (PBE-GGA, Alexandria).

space-group type = Pmm2 (25)
total energy = -4.034 eV/atom
uncorrected formation energy = -461.9 meV per atom

a = 5.071 Å, b = 4.196 Å, c = 12.166 Å
α = 90.00°, β = 90.00°, γ = 90.00°
Sites, in units of the cell vectors:
Si1 0.000 0.000 0.443
Si2 0.000 0.500 0.558
Si3 0.500 0.000 0.939
Ba1 0.000 0.000 0.139
Ba2 0.500 0.500 0.363
Ba3 0.500 0.000 0.639
Ba4 0.000 0.500 0.859
Ge1 0.500 0.500 0.061